Record 1
A geometry-optimized Li2CaTa2O7 structure, computed with PBE.

Results
The value obtained for the density of states at the Fermi level is 0.00 states/eV per cell. As for the energy relative to the elements, uncorrected: -33.3 eV/f.u. The value obtained for the polymorph energy (0 for the lowest one) is 27 meV/atom.

Cell: 3.957 3.957 18.517 Å, 90.00 90.00 90.00°
Space group I4/mmm (No. 139)
One atom of each set of equivalent atoms:
Li: 0.000 0.500 0.250
Ca: 0.000 0.000 0.000
Ta: 0.000 0.000 0.388
O: 0.000 0.000 0.285
O: 0.000 0.000 0.500
O: 0.000 0.500 0.100

***

Record 2
A geometry-optimized NaLiLa structure, computed with PBE.

Results
The value obtained for the density of states at the Fermi level is 2.39 states/eV per cell. As for the energy relative to the elements: 0.1120 eV/atom. The value obtained for the polymorph energy (0 for the lowest one) is 49 meV/atom.

Cell: 3.5275 3.5275 8.8997 Å, 90.00 90.00 120.00°
Space group P3m1 (No. 156)
One atom of each set of equivalent atoms:
Na: 0.0000 0.0000 0.0000
Li: 0.3333 0.6667 0.6815
La: 0.6667 0.3333 0.3643

***

Record 3
A geometry-optimized Hf2ScOs structure, computed with PBE.

Results
The value obtained for the density of states at the Fermi level is 5.51 states/eV per cell. As for the energy relative to the elements: -0.3269 eV/atom. The value obtained for the polymorph energy (0 for the lowest one) is 0 meV/atom.

Cell: 3.308 4.879 9.932 Å, 90.00 90.00 90.00°
Space group Immm (No. 71)
One atom of each set of equivalent atoms:
Hf: 0.000 0.000 0.213
Sc: 0.000 0.500 0.000
Os: 0.000 0.500 0.500

***

Record 4
A geometry-optimized PmScSi2 structure, computed with PBE.

Results
The value obtained for the density of states at the Fermi level is 5.68 states/eV per cell. As for the energy relative to the elements, uncorrected: -3.0 eV/f.u. The value obtained for the polymorph energy (0 for the lowest one) is 0 meV/atom.

Cell: 3.811 5.629 7.822 Å, 90.00 90.00 90.00°
Space group Pmc2_1 (No. 26)
One atom of each set of equivalent atoms:
Pm: 0.000 0.132 0.000
Sc: 0.500 0.367 0.638
Si: 0.000 0.388 0.358
Si: 0.500 0.132 0.285

***

Record 5
A geometry-optimized Ac6Ge2HI3 structure, computed with PBE.

Results
The value obtained for the density of states at the Fermi level is 15.71 states/eV per cell. The calculation puts the electronic total energy at -0.15771 Ha/atom.

Cell: 7.754 13.376 8.558 Å, 90.00 107.99 90.00°
Space group C2/m (No. 12)
One atom of each set of equivalent atoms:
Ac: 0.225 0.160 0.197
Ac: 0.241 0.500 0.211
Ge: 0.000 0.335 0.000
H: 0.000 0.000 0.000
I: 0.000 0.181 0.500
I: 0.000 0.500 0.500

***

Record 6
A geometry-optimized SrCdRu2 structure, computed with PBE.

Results
The value obtained for the density of states at the Fermi level is 8.64 states/eV per cell. As for the energy relative to the elements: 0.4926 eV/atom.

Cell: 3.025 5.076 10.600 Å, 90.00 90.00 90.00°
Space group Imm2 (No. 44)
One atom of each set of equivalent atoms:
Sr: 0.000 0.000 0.000
Cd: 0.000 0.500 0.793
Ru: 0.000 0.000 0.534
Ru: 0.000 0.500 0.226

***

Record 7
A geometry-optimized SrPuMg2Tl4 structure, computed with PBE.

Results
The value obtained for the density of states at the Fermi level is 39.86 states/eV per cell. As for the energy relative to the elements: -0.1733 eV/atom.

Cell: 5.3731 5.3731 26.3294 Å, 90.00 90.00 120.00°
Space group R-3m (No. 166, hexagonal axes)
One atom of each set of equivalent atoms:
Sr: 0.0000 0.0000 0.0000
Pu: 0.0000 0.0000 0.5000
Mg: 0.0000 0.0000 0.2488
Tl: 0.0000 0.0000 0.1273
Tl: 0.0000 0.0000 0.3775

***

Record 8
A geometry-optimized KSn4S8 structure, computed with PBE.

Results
The value obtained for the density of states at the Fermi level is 17.71 states/eV per cell. As for the energy relative to the elements, uncorrected: -4.9 eV/f.u. The value obtained for the polymorph energy (0 for the lowest one) is 143 meV/atom.

Cell: 11.235 11.235 11.235 Å, 90.00 90.00 90.00°
Space group F-43m (No. 216)
One atom of each set of equivalent atoms:
K: 0.000 0.000 0.000
Sn: 0.122 0.122 0.378
S: 0.115 0.115 0.615
S: 0.144 0.144 0.144

***

Record 9
A geometry-optimized Pm4GaSe3 structure, computed with PBE.

Results
The value obtained for the density of states at the Fermi level is 3.21 states/eV per cell. As for the energy relative to the elements, uncorrected: -12.6 eV/f.u.

Cell: 5.963 5.963 5.963 Å, 90.00 90.00 90.00°
Space group Pm-3m (No. 221)
One atom of each set of equivalent atoms:
Pm: 0.000 0.000 0.000
Pm: 0.000 0.500 0.500
Ga: 0.500 0.500 0.500
Se: 0.000 0.000 0.500

***

Record 10
A geometry-optimized TlAs2CSe structure, computed with PBE.

Results
The value obtained for the density of states at the Fermi level is 7.49 states/eV per cell. As for the energy relative to the elements, uncorrected: 11.7 eV/f.u. The value obtained for the polymorph energy (0 for the lowest one) is 1363 meV/atom.

Cell: 5.400 5.400 5.390 Å, 90.00 90.00 90.00°
Space group P4/mmm (No. 123)
One atom of each set of equivalent atoms:
Tl: 0.000 0.000 0.000
As: 0.000 0.500 0.000
C: 0.500 0.500 0.500
Se: 0.000 0.000 0.500

***

Record 11
A geometry-optimized Y2Ga2Au3 structure, computed with PBE.

Results
The value obtained for the density of states at the Fermi level is 6.42 states/eV per cell. As for the energy relative to the elements: -0.7071 eV/atom. The value obtained for the polymorph energy (0 for the lowest one) is 0 meV/atom.

Cell: 10.548 4.124 7.233 Å, 90.00 114.26 90.00°
Space group C2/m (No. 12)
One atom of each set of equivalent atoms:
Y: 0.135 0.000 0.268
Ga: 0.154 0.000 0.706
Au: 0.000 0.500 0.500
Au: 0.116 0.500 0.938

***

Record 12
A geometry-optimized Ce5Ga2Tc structure, computed with PBE.

Results
The value obtained for the density of states at the Fermi level is 59.90 states/eV per cell. As for the energy relative to the elements: -0.0968 eV/atom. The value obtained for the polymorph energy (0 for the lowest one) is 156 meV/atom.

Cell: 5.293 11.724 11.771 Å, 90.00 90.00 90.00°
Space group Cmcm (No. 63)
One atom of each set of equivalent atoms:
Ce: 0.000 0.084 0.250
Ce: 0.000 0.112 0.530
Ce: 0.000 0.405 0.621
Ga: 0.000 0.322 0.141
Tc: 0.000 0.187 0.750

***

Record 13
A geometry-optimized Ta2TiS4 structure, computed with PBE.

Results
The value obtained for the density of states at the Fermi level is 11.49 states/eV per cell. As for the energy relative to the elements, uncorrected: -6.0 eV/f.u. The value obtained for the polymorph energy (0 for the lowest one) is 0 meV/atom.

Cell: 7.139 7.210 7.210 Å, 90.79 118.47 118.49°
Space group P1 (No. 1)
One atom of each set of equivalent atoms:
Ta: 0.000 0.000 0.000
Ta: 0.056 0.017 0.447
Ta: 0.448 0.998 0.429
Ta: 0.505 0.446 0.448
Ti: 0.252 0.606 0.840
Ti: 0.753 0.355 0.091
S: 0.060 0.285 0.248
S: 0.446 0.199 0.162
S: 0.515 0.744 0.691
S: 0.519 0.243 0.714
S: 0.537 0.753 0.242
S: 0.967 0.205 0.692
S: 0.985 0.732 0.200
S: 0.990 0.756 0.702

***

Record 14
A geometry-optimized AlCu3Ni6 structure, computed with PBE.

Results
The value obtained for the density of states at the Fermi level is 24.58 states/eV per cell. As for the energy relative to the elements: -0.1253 eV/atom.

Cell: 7.823 3.613 8.042 Å, 90.00 92.10 90.00°
Space group P2_1/m (No. 11)
One atom of each set of equivalent atoms:
Al: 0.059 0.250 0.386
Cu: 0.251 0.250 0.997
Cu: 0.345 0.750 0.798
Cu: 0.447 0.250 0.599
Ni: 0.047 0.750 0.903
Ni: 0.141 0.250 0.696
Ni: 0.156 0.750 0.195
Ni: 0.243 0.750 0.497
Ni: 0.353 0.250 0.297
Ni: 0.450 0.750 0.100

***

Record 15
A geometry-optimized K2TmSbO6 structure, computed with PBE.

Results
The value obtained for the density of states at the Fermi level is 13.75 states/eV per cell. As for the energy relative to the elements, uncorrected: -18.6 eV/f.u.

Cell: 8.435 8.435 8.435 Å, 90.00 90.00 90.00°
Space group Fm-3m (No. 225)
One atom of each set of equivalent atoms:
K: 0.250 0.250 0.250
Tm: 0.000 0.000 0.000
Sb: 0.000 0.000 0.500
O: 0.000 0.000 0.263

***

Record 16
A geometry-optimized SrCdSnBi structure, computed with PBE.

Results
The value obtained for the density of states at the Fermi level is 13.61 states/eV per cell. As for the energy relative to the elements: -0.2703 eV/atom.

Cell: 7.924 7.924 7.924 Å, 90.00 90.00 90.00°
Space group F-43m (No. 216)
One atom of each set of equivalent atoms:
Sr: 0.000 0.000 0.000
Cd: 0.250 0.250 0.250
Sn: 0.000 0.000 0.500
Bi: 0.250 0.250 0.750

***

Record 17
A geometry-optimized AcTb2In6 structure, computed with PBE.

Results
The value obtained for the density of states at the Fermi level is 4.30 states/eV per cell. As for the energy relative to the elements: -0.3928 eV/atom.

Cell: 8.7980 8.7980 3.6760 Å, 90.00 90.00 120.00°
Space group P6/mmm (No. 191)
One atom of each set of equivalent atoms:
Ac: 0.0000 0.0000 0.0000
Tb: 0.3333 0.6667 0.0000
In: 0.0000 0.3387 0.5000

***

Record 18
A geometry-optimized TlReSi structure, computed with PBE.

Results
The value obtained for the density of states at the Fermi level is 5.02 states/eV per cell. As for the energy relative to the elements, uncorrected: 2.0 eV/f.u. The value obtained for the polymorph energy (0 for the lowest one) is 265 meV/atom.

Cell: 3.159 4.857 15.434 Å, 90.00 90.00 90.00°
Space group Fmm2 (No. 42)
One atom of each set of equivalent atoms:
Tl: 0.000 0.000 0.000
Re: 0.000 0.000 0.676
Si: 0.000 0.000 0.295

***

Record 19
A geometry-optimized SrMgHg2 structure, computed with PBE.

Results
The value obtained for the density of states at the Fermi level is 4.41 states/eV per cell. As for the energy relative to the elements: -0.2676 eV/atom.

Cell: 4.699 4.699 10.255 Å, 90.00 90.00 90.00°
Space group I-4m2 (No. 119)
One atom of each set of equivalent atoms:
Sr: 0.000 0.000 0.000
Mg: 0.000 0.500 0.250
Hg: 0.000 0.000 0.500
Hg: 0.000 0.500 0.750

***

Record 20
A geometry-optimized CeTmGe structure, computed with PBE.

Results
The value obtained for the density of states at the Fermi level is 34.50 states/eV per cell. As for the energy relative to the elements: -0.3978 eV/atom.

Cell: 6.929 6.929 6.929 Å, 90.00 90.00 90.00°
Space group F-43m (No. 216)
One atom of each set of equivalent atoms:
Ce: 0.000 0.000 0.000
Tm: 0.000 0.000 0.500
Ge: 0.250 0.250 0.250